Record 1
Here is a relaxed structure of ScAl2Hg from the Alexandria database. Energies are from PBE-GGA.

Values from the calculation:
- SG = No. 8
- VASP energy (eV per atom) = -3.7012
- formation energy (eV/atom) = -0.172
- total magnetic moment (μB per cell) = 0.000
- Fermi-level density of states (states/eV/f.u.) = 2.1

```
ScAl2Hg
1.0
5.111 0.017 0.000
4.062 3.101 0.000
1.071 0.364 4.986
Hg Al Sc
1 2 1
Direct
0.505 0.505 0.491 Hg
0.255 0.255 0.238 Al
0.994 0.994 0.015 Al
0.747 0.747 0.756 Sc
```

=====

Record 2
Here is a relaxed structure of SrCoP2 from the Alexandria database. Energies are from PBE-GGA.

Values from the calculation:
- SG = No. 99
- VASP energy (eV per atom) = -4.9714
- formation energy (eV/atom) = -0.070
- total magnetic moment (μB per cell) = 0.000
- Fermi-level density of states (states/eV/f.u.) = 3.0
- excess energy over the best structure of this formula in the dataset (meV/atom) = 591

```
SrCoP2
1.0
-0.700 -1.267 2.903
3.027 0.608 0.995
-1.928 6.044 2.174
P Co Sr
2 1 1
Direct
0.000 0.000 0.950 P
0.500 0.500 0.193 P
0.500 0.500 0.868 Co
0.000 0.000 0.488 Sr
```

=====

Record 3
Here is a relaxed structure of SrCa2Se from the Alexandria database. Energies are from PBE-GGA.

Values from the calculation:
- SG = No. 38
- raw formation energy (eV/atom) = -0.85
- VASP energy (eV per atom) = -3.1402
- total magnetic moment (μB per cell) = 0.000
- Fermi-level density of states (states/eV/f.u.) = 2.5

```
SrCa2Se
1.0
4.089 0.000 0.000
0.000 5.107 -0.002
0.000 2.556 6.939
Sr Se Ca
1 1 2
Direct
0.500 0.732 0.661 Sr
0.000 0.274 0.577 Se
0.000 0.061 0.003 Ca
0.500 0.433 0.258 Ca
```

=====

Record 4
Here is a relaxed structure of Zr3Ga2N from the Alexandria database. Energies are from PBE-GGA.

Values from the calculation:
- SG = No. 15
- raw formation energy (eV/atom) = -0.76
- VASP energy (eV per atom) = -7.4271
- total magnetic moment (μB per cell) = 0.000
- Fermi-level density of states (states/eV/f.u.) = 2.9

```
Zr3Ga2N
1.0
-1.612 2.192 -4.607
4.092 -3.614 -3.152
-4.681 -4.700 2.509
Ga Zr N
4 6 2
Direct
0.370 0.937 0.621 Ga
0.630 0.063 0.379 Ga
0.749 0.563 0.379 Ga
0.251 0.437 0.621 Ga
0.523 0.750 0.000 Zr
0.171 0.570 0.239 Zr
0.931 0.930 0.761 Zr
0.477 0.250 0.000 Zr
0.069 0.070 0.239 Zr
0.829 0.430 0.761 Zr
0.966 0.750 0.000 N
0.034 0.250 0.000 N
```

=====

Record 5
Here is a relaxed structure of TbZnGaCu2 from the Alexandria database. Energies are from PBE-GGA.

Values from the calculation:
- SG = No. 44
- VASP energy (eV per atom) = -3.7329
- formation energy (eV/atom) = -0.308
- total magnetic moment (μB per cell) = 0.000
- Fermi-level density of states (states/eV/f.u.) = 2.2

```
TbZnGaCu2
1.0
-1.871 2.294 2.633
-3.014 0.435 -2.521
-0.002 -5.829 2.097
Tb Cu Ga Zn
1 2 1 1
Direct
0.450 0.450 0.900 Tb
0.693 0.193 0.385 Cu
0.051 0.051 0.102 Cu
0.832 0.832 0.664 Ga
0.186 0.686 0.373 Zn
```

=====

Record 6
Here is a relaxed structure of Cr2PdN from the Alexandria database. Energies are from PBE-GGA.

Values from the calculation:
- SG = No. 122
- raw formation energy (eV/atom) = 0.07
- VASP energy (eV per atom) = -8.1250
- total magnetic moment (μB per cell) = 1.851
- Fermi-level density of states (states/eV/f.u.) = 3.0

```
Cr2PdN
1.0
-5.884 0.948 -0.565
-1.009 -5.863 0.671
-3.644 -2.124 2.668
Cr Pd N
4 2 2
Direct
0.524 0.125 0.250 Cr
0.226 0.625 0.250 Cr
0.875 0.774 0.750 Cr
0.375 0.476 0.750 Cr
0.750 0.250 0.500 Pd
0.000 0.000 0.000 Pd
0.250 0.750 0.500 N
0.500 0.500 0.000 N
```

=====

Record 7
Here is a relaxed structure of BeGeF3 from the Alexandria database. Energies are from PBE-GGA.

Values from the calculation:
- SG = No. 221
- raw formation energy (eV/atom) = -1.02
- VASP energy (eV per atom) = -3.8141
- total magnetic moment (μB per cell) = 0.843
- Fermi-level density of states (states/eV/f.u.) = 0.9
- excess energy over the best structure of this formula in the dataset (meV/atom) = 760

```
BeGeF3
1.0
4.313 0.000 0.000
0.000 4.313 0.000
0.000 0.000 4.313
F Ge Be
3 1 1
Direct
0.000 0.000 0.500 F
0.000 0.500 0.000 F
0.500 0.000 0.000 F
0.000 0.000 0.000 Ge
0.500 0.500 0.500 Be
```

=====

Record 8
Here is a relaxed structure of NaCd6Hg2 from the Alexandria database. Energies are from PBE-GGA.

Values from the calculation:
- SG = No. 12
- VASP energy (eV per atom) = -0.8401
- formation energy (eV/atom) = -0.016
- total magnetic moment (μB per cell) = 0.000
- Fermi-level density of states (states/eV/f.u.) = 2.5
- excess energy over the best structure of this formula in the dataset (meV/atom) = 27

```
NaCd6Hg2
1.0
-0.738 2.566 2.050
-8.623 1.558 -2.240
-7.230 -3.287 4.326
Cd Hg Na
6 2 1
Direct
0.500 0.324 0.676 Cd
0.675 0.004 0.649 Cd
0.325 0.351 0.996 Cd
0.325 0.996 0.351 Cd
0.675 0.649 0.004 Cd
0.500 0.676 0.324 Cd
0.147 0.349 0.349 Hg
0.853 0.651 0.651 Hg
0.000 0.000 0.000 Na
```

=====

Record 9
Here is a relaxed structure of ErSnHgBr6 from the Alexandria database. Energies are from PBE-GGA.

Values from the calculation:
- SG = No. 149
- raw formation energy (eV/atom) = -1.08
- VASP energy (eV per atom) = -3.1837
- total magnetic moment (μB per cell) = 0.000
- Fermi-level density of states (states/eV/f.u.) = 6.5

```
ErSnHgBr6
1.0
7.196 0.000 0.000
3.598 6.232 0.000
0.000 -0.001 8.923
Br Er Hg Sn
6 1 1 1
Direct
0.004 0.636 0.682 Br
0.636 0.360 0.682 Br
0.636 0.004 0.318 Br
0.360 0.004 0.682 Br
0.360 0.636 0.318 Br
0.004 0.360 0.318 Br
0.333 0.333 0.500 Er
0.000 0.000 0.000 Hg
0.667 0.667 0.500 Sn
```

=====

Record 10
Here is a relaxed structure of Ca2HI from the Alexandria database. Energies are from PBE-GGA.

Values from the calculation:
- SG = No. 225
- VASP energy (eV per atom) = -2.3514
- total magnetic moment (μB per cell) = 0.000
- Fermi-level density of states (states/eV/f.u.) = 2.1
- excess energy over the best structure of this formula in the dataset (meV/atom) = 449

```
Ca2HI
1.0
0.460 -4.850 -2.281
-3.597 -1.600 -3.666
1.431 -0.417 -5.169
I Ca H
1 2 1
Direct
0.500 0.500 0.500 I
0.750 0.750 0.750 Ca
0.250 0.250 0.250 Ca
0.000 0.000 0.000 H
```

=====

Record 11
Here is a relaxed structure of RbBa2NaAu from the Alexandria database. Energies are from PBE-GGA.

Values from the calculation:
- SG = No. 123
- VASP energy (eV per atom) = -2.0967
- formation energy (eV/atom) = -0.215
- total magnetic moment (μB per cell) = 0.000
- Fermi-level density of states (states/eV/f.u.) = 3.1
- excess energy over the best structure of this formula in the dataset (meV/atom) = 0

```
RbBa2NaAu
1.0
-6.165 1.777 0.948
-1.306 -5.851 2.475
1.479 2.086 5.713
Ba Na Rb Au
2 1 1 1
Direct
0.000 0.500 0.000 Ba
0.500 0.000 0.000 Ba
0.000 0.000 0.500 Na
0.500 0.500 0.500 Rb
0.000 0.000 0.000 Au
```

=====

Record 12
Here is a relaxed structure of ZrCrHS2 from the Alexandria database. Energies are from PBE-GGA.

Values from the calculation:
- SG = No. 123
- VASP energy (eV per atom) = -6.1813
- total magnetic moment (μB per cell) = 3.879
- Fermi-level density of states (states/eV/f.u.) = 2.6

```
ZrCrHS2
1.0
4.551 0.000 0.000
0.000 3.446 0.000
0.000 0.000 4.551
Cr S H Zr
1 2 1 1
Direct
0.500 0.500 0.500 Cr
0.500 0.000 0.000 S
0.000 0.000 0.500 S
0.000 0.000 0.000 H
0.000 0.500 0.000 Zr
```

=====

Record 13
Here is a relaxed structure of ZrCI2 from the Alexandria database. Energies are from PBE-GGA.

Values from the calculation:
- SG = No. 122
- raw formation energy (eV/atom) = 1.49
- VASP energy (eV per atom) = -3.7277
- total magnetic moment (μB per cell) = 0.000
- Fermi-level density of states (states/eV/f.u.) = 2.2
- excess energy over the best structure of this formula in the dataset (meV/atom) = 243

```
ZrCI2
1.0
6.151 0.000 0.000
0.000 6.151 0.000
3.075 3.075 5.941
I Zr C
4 2 2
Direct
0.574 0.125 0.250 I
0.875 0.824 0.750 I
0.176 0.625 0.250 I
0.375 0.426 0.750 I
0.750 0.250 0.500 Zr
0.000 0.000 0.000 Zr
0.250 0.750 0.500 C
0.500 0.500 0.000 C
```